First-principles (GGA-PBE) data for LiErCd after structural relaxation, as listed in Alexandria.

POSCAR file:
```
LiErCd
1.0
4.873 0.000 0.088
0.000 4.697 -0.004
-0.105 -2.354 5.746
Cd Er Li
2 2 2
Cartesian
3.633 -0.003 1.226 Cd
1.135 2.346 4.604 Cd
3.569 -0.005 4.740 Er
1.199 2.349 1.090 Er
3.605 2.347 2.819 Li
1.163 -0.004 3.011 Li
```

## Properties
symmetry	P2_1/m
energy above the lowest structure with this stoichiometry	49.7	meV/atom
DOS(E_F)	0.60	states/eV/atom
calculated formation energy	-127	meV/atom
calculated volume	131.5	Å³ per cell